1.
Entry from Alexandria: an optimized crystal structure of CeLuZnRh (PBE).

Calculated values
The density of states at the Fermi level is 6.03 states/eV/cell. For the calculated formation energy, the calculation gives -2.1 eV per formula unit. Its total magnetic moment is 0.7 μB/f.u.

CIF file:
```
data_CeLuZnRh
_chemical_formula_sum 'Ce1 Lu1 Zn1 Rh1'
_cell_length_a 4.941
_cell_length_b 4.941
_cell_length_c 4.941
_cell_angle_alpha 60.00
_cell_angle_beta 60.00
_cell_angle_gamma 60.00
_symmetry_space_group_name_H-M 'P 1'
_symmetry_Int_Tables_number 1
_symmetry_space_group_name_Hall 'P 1'
loop_
_atom_site_label
_atom_site_fract_x
_atom_site_fract_y
_atom_site_fract_z
Zn1 0.000 0.000 0.000
Lu1 0.750 0.750 0.750
Rh1 0.500 0.500 0.500
Ce1 0.250 0.250 0.250
```



2.
Entry from Alexandria: an optimized crystal structure of CeLuRu (PBE).

Calculated values
The density of states at the Fermi level is 4.84 states/eV/cell. For the calculated formation energy, the calculation gives -0.4 eV per formula unit. Its total magnetic moment is 0.0 μB/f.u.

CIF file:
```
data_CeLuRu
_chemical_formula_sum 'Ce1 Lu1 Ru1'
_cell_length_a 3.380
_cell_length_b 4.726
_cell_length_c 4.726
_cell_angle_alpha 120.00
_cell_angle_beta 90.00
_cell_angle_gamma 90.00
_symmetry_space_group_name_H-M 'P 1'
_symmetry_Int_Tables_number 1
_symmetry_space_group_name_Hall 'P 1'
loop_
_atom_site_label
_atom_site_fract_x
_atom_site_fract_y
_atom_site_fract_z
Ru1 0.330 0.667 0.333
Lu1 0.624 0.333 0.667
Ce1 0.046 0.000 0.000
```